1.
## BaAlCd (PBE)

Data for crystalline BaAlCd at its relaxed geometry.

Summary:
SG: Imm2 (44)
E, eV/atom: -2.2377

abc: 6.8140 6.8131 6.8131
angles: 147.01 147.97 46.64
Sites, in units of the cell vectors:
Al 0.9690 0.9691 0.9999
Ba 0.6651 0.6649 0.0003
Cd 0.3659 0.3661 0.9998


2.
## Ru2Br4Cl3 (PBE)

Data for crystalline Ru2Br4Cl3 at its relaxed geometry.

Summary:
SG: C2/c (15)
E, eV/atom: -3.6194

abc: 7.4153 10.2207 10.2207
angles: 121.31 78.67 78.67
Site moments in Bohr magnetons follow the coordinates.
Sites, in units of the cell vectors:
Ru 0.3515 0.1386 0.4609  1.00
Ru 0.1485 0.5391 0.8614  1.00
Ru 0.6485 0.8614 0.5391  1.00
Ru 0.8515 0.4609 0.1386  1.00
Br 0.4529 0.8388 0.3579  0.05
Br 0.0471 0.6421 0.1612  0.05
Br 0.5471 0.1612 0.6421  0.05
Br 0.9529 0.3579 0.8388  0.05
Br 0.0802 0.1146 0.3665  0.13
Br 0.4198 0.6335 0.8854  0.13
Br 0.9198 0.8854 0.6335  0.13
Br 0.5802 0.3665 0.1146  0.13
Cl 0.5915 0.0856 0.2532  0.13
Cl 0.9085 0.7468 0.9144  0.13
Cl 0.4085 0.9144 0.7468  0.13
Cl 0.0915 0.2532 0.0856  0.13
Cl 0.2500 0.4201 0.5799  0.04
Cl 0.7500 0.5799 0.4201  0.04


3.
## CrPt2 (PBE)

Data for crystalline CrPt2 at its relaxed geometry.

Summary:
SG: P-62m (189)
E, eV/atom: -7.4253

abc: 7.4209 7.4209 2.8004
angles: 90.00 90.00 120.00
Site moments in Bohr magnetons follow the coordinates.
Sites, in units of the cell vectors:
Cr 0.0000 0.0000 0.5000  -2.14
Cr 0.3333 0.6667 0.0000  2.56
Cr 0.6667 0.3333 0.0000  2.56
Pt 0.0000 0.2966 0.0000  -0.03
Pt 0.0000 0.6342 0.5000  0.04
Pt 0.2966 0.0000 0.0000  -0.03
Pt 0.7034 0.7034 0.0000  -0.03
Pt 0.6342 0.0000 0.5000  0.04
Pt 0.3658 0.3658 0.5000  0.04


- Number 2 is which compound?
  Ru2Br4Cl3


- Among the records above, which one has the lowest E?
  CrPt2